Here is K5Rb5Ag after structural relaxation from Alexandria. Energies are from GGA-PBE.

## Properties
ΔE_f = 0.063 eV/atom
Fermi-level density of states = 8.0 states/eV/cell
total DFT energy (no corrections) = -1.13 eV/atom

Cell: 12.8470 12.8470 12.8470 Å, 147.38 131.72 59.49°
With the nearest neighbours (Å) after each atom.
Element x y z (fractional)
K1 0.0000 0.0000 0.0000  2 Ag 3.61
K2 0.0719 0.3739 0.6981  1 Ag 3.50
K3 0.3242 0.6261 0.6981  1 Ag 3.50
K4 0.6758 0.3739 0.3019  1 Ag 3.50
K5 0.9281 0.6261 0.3019  1 Ag 3.50
Rb1 0.2160 0.2160 0.0000  7 K 4.62-4.82, 2 Rb 4.73
Rb2 0.3527 0.8527 0.5000  4 Rb 4.73-4.88, 4 K 4.83
Rb3 0.5000 0.5000 0.0000  4 K 4.24
Rb4 0.6473 0.1473 0.5000  4 Rb 4.73-4.88, 4 K 4.83
Rb5 0.7840 0.7840 0.0000  7 K 4.62-4.82, 2 Rb 4.73
Ag1 0.0000 0.5000 0.5000  6 K 3.50-3.61

---

Here is K6Rb12Ag after structural relaxation from Alexandria. Energies are from GGA-PBE.

## Properties
ΔE_f = 0.017 eV/atom
Fermi-level density of states = 15.8 states/eV/cell
total DFT energy (no corrections) = -1.09 eV/atom

Cell: 11.7459 11.7459 11.7459 Å, 78.12 78.12 78.12°
With the nearest neighbours (Å) after each atom.
Element x y z (fractional)
K1 0.1356 0.8093 0.8093  1 Ag 3.42
K2 0.1907 0.1907 0.8644  1 Ag 3.42
K3 0.1907 0.8644 0.1907  1 Ag 3.42
K4 0.8093 0.1356 0.8093  1 Ag 3.42
K5 0.8093 0.8093 0.1356  1 Ag 3.42
K6 0.8644 0.1907 0.1907  1 Ag 3.42
Rb1 0.1359 0.1359 0.4769  7 Rb 4.84-5.05, 5 K 4.88-4.96
Rb2 0.1359 0.4769 0.1359  7 Rb 4.84-5.05, 5 K 4.88-4.96
Rb3 0.1937 0.5305 0.5305  9 Rb 4.89-5.00, 3 K 4.95-4.99
Rb4 0.4695 0.4695 0.8063  9 Rb 4.89-5.00, 3 K 4.95-4.99
Rb5 0.4695 0.8063 0.4695  9 Rb 4.89-5.00, 3 K 4.95-4.99
Rb6 0.4769 0.1359 0.1359  7 Rb 4.84-5.05, 5 K 4.88-4.96
Rb7 0.5231 0.8641 0.8641  7 Rb 4.84-5.05, 5 K 4.88-4.96
Rb8 0.5305 0.1937 0.5305  9 Rb 4.89-5.00, 3 K 4.95-4.99
Rb9 0.5305 0.5305 0.1937  9 Rb 4.89-5.00, 3 K 4.95-4.99
Rb10 0.8063 0.4695 0.4695  9 Rb 4.89-5.00, 3 K 4.95-4.99
Rb11 0.8641 0.5231 0.8641  7 Rb 4.84-5.05, 5 K 4.88-4.96
Rb12 0.8641 0.8641 0.5231  7 Rb 4.84-5.05, 5 K 4.88-4.96
Ag1 0.0000 0.0000 0.0000  6 K 3.42

---

Here is K2Rb7Ag after structural relaxation from Alexandria. Energies are from GGA-PBE.

## Properties
ΔE_f = 0.102 eV/atom
Fermi-level density of states = 8.0 states/eV/cell
total DFT energy (no corrections) = -1.08 eV/atom

Cell: 13.2180 13.2180 4.8893 Å, 90.00 90.00 101.68°
With the nearest neighbours (Å) after each atom.
Element x y z (fractional)
K1 0.1090 0.8910 0.0000  2 Ag 3.31
K2 0.8910 0.1090 0.0000  2 Ag 3.31
Rb1 0.1276 0.3809 0.0000  1 K 4.26
Rb2 0.2933 0.7067 0.5000  2 K 4.50, 4 Rb 4.89
Rb3 0.3809 0.1276 0.0000  1 K 4.26
Rb4 0.5000 0.5000 0.0000  10 Rb 4.85-4.89
Rb5 0.6191 0.8724 0.0000  1 K 4.26
Rb6 0.7067 0.2933 0.5000  2 K 4.50, 4 Rb 4.89
Rb7 0.8724 0.6191 0.0000  1 K 4.26
Ag1 0.0000 0.0000 0.5000  4 K 3.31

---

Here is KRbAg2 after structural relaxation from Alexandria. Energies are from GGA-PBE.

## Properties
ΔE_f = 0.099 eV/atom
polymorph energy (0 for the lowest one) = 0.31 eV/f.u.
Fermi-level density of states = 0.8 states/eV/cell
total DFT energy (no corrections) = -1.84 eV/atom

Cell: 4.2360 4.2360 8.2269 Å, 90.00 90.00 90.00°
With the nearest neighbours (Å) after each atom.
Element x y z (fractional)
K1 0.0000 0.0000 0.0000  8 Ag 3.50
Rb1 0.0000 0.0000 0.5000  8 Ag 3.78, 2 K 4.11
Ag1 0.5000 0.5000 0.2193  4 K 3.50, 1 Ag 3.61, 4 Rb 3.78
Ag2 0.5000 0.5000 0.7807  4 K 3.50, 1 Ag 3.61, 4 Rb 3.78